Density functional theory data (PBE) for Cd2Cu2Te after structural relaxation.

Summary:
Raw total energy   -2.42 eV/atom
Crystal system   tetragonal
Excess energy over the best structure of this formula in the dataset   9.9 kJ per mole of atoms
ΔE_f (raw)   0.213 eV/atom
Volume   20.271 Å³ per atom

abc: 8.317 8.317 2.930
angles: 90.00 90.00 90.00
Atoms (fractional coordinates):
Cd: 0.181 0.319 0.000
Cd: 0.319 0.819 0.000
Cd: 0.681 0.181 0.000
Cd: 0.819 0.681 0.000
Cu: 0.106 0.606 0.500
Cu: 0.394 0.106 0.500
Cu: 0.606 0.894 0.500
Cu: 0.894 0.394 0.500
Te: 0.000 0.000 0.000
Te: 0.500 0.500 0.000